12
Lattice="-1.4867 -1.5651 -4.1321 -5.7686 -2.7847 5.7603 -1.2294 8.8239 -2.9000" Properties=species:S:1:pos:R:3 comment="KCd3Au2 | Alexandria via LeMat-Bulk | PBE-GGA | optimized geometry" ef_ev_per_atom=-0.212 polymorph_energy_ev_per_atom=0.000 magnetic_moment_mub_per_cell=0.0 space_group="No. 12" pbc="T T T"
Au -1.0857 0.4783 -2.4205
Au -7.3991 3.9957 1.1487
Au -3.0507 4.3221 -0.5395
Au -5.4341 0.1520 -0.7323
Cd -5.5307 -0.1638 2.0520
Cd -2.9540 4.6379 -3.3238
Cd -3.5707 1.8364 -2.0408
Cd -7.8661 1.6358 -0.4193
Cd -4.9141 2.6376 0.7690
Cd -0.6187 2.8382 -0.8525
K -6.3882 4.7716 -2.1388
K -2.0966 -0.2976 0.8671

10
Lattice="-3.8153 1.3225 0.3914 -1.3729 -3.5324 -1.4477 -0.6533 -7.4412 18.7759" Properties=species:S:1:pos:R:3 comment="K5CdAu4 | Alexandria via LeMat-Bulk | PBE-GGA | optimized geometry" ef_ev_per_atom=-0.238 magnetic_moment_mub_per_cell=0.0 space_group="No. 123" pbc="T T T"
K -2.9208 -4.8255 8.8598
K -3.1712 -7.6778 16.0568
K -2.7946 -3.3887 5.2342
K -3.0469 -6.2624 12.4854
K -2.6704 -1.9732 1.6628
Au -0.1334 -1.5193 3.8335
Au -0.5199 -5.9219 14.9424
Au -0.3909 -4.4526 11.2351
Au -0.2624 -2.9886 7.5409
Cd 0.0000 0.0000 0.0000

12
Lattice="5.1326 0.0000 1.1049 2.5315 6.0322 0.7140 0.1814 -0.2574 11.6311" Properties=species:S:1:pos:R:3 comment="K4Cd3Au5 | Alexandria via LeMat-Bulk | PBE-GGA | optimized geometry" ef_ev_per_atom=-0.241 magnetic_moment_mub_per_cell=0.0 space_group="No. 12" pbc="T T T"
K 0.9871 -0.0087 7.8884
K 6.8585 5.7835 5.5616
K 2.7277 3.9934 12.2765
K 5.1179 1.7814 1.1735
Au 3.0422 -0.1952 10.8156
Au 4.8034 5.9700 2.6345
Au 3.3216 2.2657 9.5175
Au 4.5239 3.5091 3.9325
Au 1.3565 2.8874 6.1726
Cd 5.9103 3.5260 9.9660
Cd 1.9352 2.2488 3.4840
Cd 3.9228 2.8874 6.7250

16
Lattice="-3.9431 2.9091 -0.4180 0.8103 -2.1897 6.0473 9.7491 13.7417 3.6694" Properties=species:S:1:pos:R:3 comment="K3Cd3Au2 | Alexandria via LeMat-Bulk | PBE-GGA | optimized geometry" ef_ev_per_atom=-0.226 magnetic_moment_mub_per_cell=0.0 space_group="No. 63" pbc="T T T"
K 8.5331 12.1615 4.1433
K 5.7458 8.2328 3.0942
K 6.4410 9.7550 7.1300
K 0.1752 4.7061 2.1687
K -1.9168 2.2996 5.1554
K 0.8705 6.2284 6.2045
Au 3.2713 9.3597 5.3495
Au 3.3450 5.1014 3.9492
Au 0.5339 1.1391 2.8911
Au 6.0824 13.3220 6.4076
Cd 1.6785 2.9551 4.7320
Cd 4.3661 6.8047 6.1704
Cd 2.2501 7.6564 3.1284
Cd 4.9377 11.5060 4.5667
Cd 8.5821 12.7472 7.7572
Cd -1.9658 1.7139 1.5416

7
Lattice="-3.1293 3.5524 3.1669 -5.1516 1.9430 -2.1480 -3.9847 -2.2682 3.7290" Properties=species:S:1:pos:R:3 comment="KCd2Au4 | Alexandria via LeMat-Bulk | PBE-GGA | optimized geometry" ef_ev_per_atom=-0.212 magnetic_moment_mub_per_cell=0.0 space_group="No. 139" pbc="T T T"
Au -2.9566 1.8409 0.1355
Au -5.3244 3.6545 0.8835
Au -2.5037 0.2068 2.4160
Au -4.6103 1.0774 4.4799
Cd -6.9151 2.5017 3.1657
Cd -5.3505 0.7255 1.5822
K 0.0000 0.0000 0.0000

4
Lattice="-2.9979 2.2548 -5.1533 -4.6220 -0.1080 -4.3879 -4.1609 3.3279 1.4439" Properties=species:S:1:pos:R:3 comment="KCdAu2 | Alexandria via LeMat-Bulk | PBE-GGA | optimized geometry" ef_ev_per_atom=-0.109 magnetic_moment_mub_per_cell=0.0 space_group="No. 8" pbc="T T T"
Cd -5.7775 2.7901 -3.6464
K -2.9152 1.2965 -2.1835
Au -8.7212 4.0450 -6.0186
Au -0.2573 0.0805 -0.2973

4
Lattice="-2.1848 -1.6389 -4.5399 4.6619 -2.0364 -1.4800 -2.6789 -1.3540 4.3658" Properties=species:S:1:pos:R:3 comment="KCdAu2 | Alexandria via LeMat-Bulk | PBE-GGA | optimized geometry" ef_ev_per_atom=-0.083 magnetic_moment_mub_per_cell=0.0 space_group="No. 71" pbc="T T T"
Au 1.3590 -2.0163 -3.3026
Au 2.3567 -3.4966 -5.7273
K 1.6107 -2.6140 -0.0621
Cd -1.8126 -2.4153 -1.5920

9
Lattice="-1.7528 5.3797 4.1251 6.4793 -4.7283 2.9767 6.3205 2.8375 -1.0148" Properties=species:S:1:pos:R:3 comment="K4CdAu4 | Alexandria via LeMat-Bulk | PBE-GGA | optimized geometry" ef_ev_per_atom=-0.210 magnetic_moment_mub_per_cell=0.0 space_group="No. 121" pbc="T T T"
K 1.2054 3.6971 4.2259
K 9.0769 2.1385 3.6605
K 4.7272 2.5881 1.9838
K 7.0844 -1.4461 2.3037
Cd 0.0000 0.0000 0.0000
Au 10.3351 -0.4821 1.8595
Au 4.0734 5.4800 3.6878
Au 1.6441 1.1097 2.0336
Au 6.0413 0.8700 4.5931

Short version: VASP energy = -1.94, -2.19, -2.20, -1.80, -2.50, -2.25, -2.23, -2.26 eV per atom, in the order given.